Density functional theory data (PBE) for an optimized crystal structure of SiNi3S.

Cell lengths 4.230, 4.230, 4.230 Å; angles 90.00, 90.00, 90.00 degrees
Positions (direct):
1 Ni 0.000 0.500 0.000
2 Ni 0.000 0.000 0.500
3 Ni 0.500 0.000 0.000
4 S 0.500 0.500 0.500
5 Si 0.000 0.000 0.000

Values from the calculation:
total magnetic moment = 0.000 μB/cell
symmetry = Pm-3m, No. 221
distance to the lowest polymorph of the same formula = 175 kJ/mol of formula units
theoretical density = 5184 kg/m³
E_form (uncorrected) = 558 meV/atom
E = -4.82 eV per atom


Density functional theory data (PBE) for an optimized crystal structure of SiNi2S.

Cell lengths 4.106, 4.106, 4.106 Å; angles 60.00, 60.00, 60.00 degrees
Positions (direct):
1 Ni 0.250 0.250 0.250
2 Ni 0.750 0.750 0.750
3 S 0.500 0.500 0.500
4 Si 0.000 0.000 0.000

Values from the calculation:
total magnetic moment = 0.000 μB/cell
symmetry = Fm-3m, No. 225
distance to the lowest polymorph of the same formula = 60 kJ/mol of formula units
theoretical density = 6022 kg/m³
E_form (uncorrected) = 20 meV/atom
E = -5.26 eV per atom


Density functional theory data (PBE) for an optimized crystal structure of SiNi2S.

Cell lengths 4.024, 4.024, 7.451 Å; angles 74.33, 74.33, 90.00 degrees
Positions (direct):
1 Ni 0.651 0.125 0.250
2 Ni 0.099 0.625 0.250
3 Ni 0.375 0.349 0.750
4 Ni 0.875 0.901 0.750
5 S 0.000 0.000 0.000
6 S 0.750 0.250 0.500
7 Si 0.500 0.500 0.000
8 Si 0.250 0.750 0.500

Values from the calculation:
total magnetic moment = 0.000 μB/cell
symmetry = I-42d, No. 122
distance to the lowest polymorph of the same formula = 0 kJ/mol of formula units
theoretical density = 5289 kg/m³
E_form (uncorrected) = -135 meV/atom
E = -5.41 eV per atom


Density functional theory data (PBE) for an optimized crystal structure of Si2NiSnS.

Cell lengths 4.326, 5.220, 4.326 Å; angles 90.00, 90.00, 90.00 degrees
Positions (direct):
1 Ni 0.000 0.000 0.000
2 S 0.000 0.500 0.000
3 Si 0.000 0.000 0.500
4 Si 0.500 0.000 0.000
5 Sn 0.500 0.500 0.500

Values from the calculation:
total magnetic moment = 0.000 μB/cell
symmetry = P4/mmm, No. 123
theoretical density = 4515 kg/m³
E_form (uncorrected) = 306 meV/atom
E = -4.65 eV per atom


Density functional theory data (PBE) for an optimized crystal structure of Sm4NiS3.

Cell lengths 6.885, 7.049, 8.056 Å; angles 90.00, 90.00, 109.24 degrees
Positions (direct):
1 Ni 0.750 0.000 0.878
2 Ni 0.250 0.000 0.122
3 S 0.750 0.000 0.377
4 S 0.250 0.000 0.623
5 S 0.750 0.500 0.619
6 S 0.750 0.500 0.127
7 S 0.250 0.500 0.381
8 S 0.250 0.500 0.873
9 Sm 0.997 0.245 0.631
10 Sm 0.503 0.245 0.877
11 Sm 0.497 0.245 0.369
12 Sm 0.003 0.245 0.123
13 Sm 0.997 0.755 0.877
14 Sm 0.503 0.755 0.631
15 Sm 0.497 0.755 0.123
16 Sm 0.003 0.755 0.369

Values from the calculation:
total magnetic moment = 0.000 μB/cell
symmetry = P2/c, No. 13
theoretical density = 6804 kg/m³
E_form (uncorrected) = -1577 meV/atom
E = -6.21 eV per atom


Density functional theory data (PBE) for an optimized crystal structure of Sm4NiS7.

Cell lengths 9.692, 9.692, 6.790 Å; angles 90.00, 90.00, 120.00 degrees
Last column: magnetic moment on the atom in μB.
Positions (direct):
1 Sm 0.333 0.667 0.837  0.01
2 Sm 0.667 0.333 0.337  0.01
3 Sm 0.788 0.626 0.790  0.01
4 Sm 0.838 0.212 0.790  0.01
5 Sm 0.212 0.374 0.290  0.01
6 Sm 0.374 0.162 0.790  0.01
7 Sm 0.162 0.788 0.290  0.01
8 Sm 0.626 0.838 0.290  0.01
9 Ni 0.000 0.000 0.954  1.20
10 Ni 0.000 0.000 0.454  1.20
11 S 0.930 0.485 0.549  0.01
12 S 0.555 0.070 0.549  0.01
13 S 0.070 0.515 0.049  0.01
14 S 0.515 0.445 0.549  0.01
15 S 0.445 0.930 0.049  0.01
16 S 0.485 0.555 0.049  0.01
17 S 0.333 0.667 0.452  0.01
18 S 0.667 0.333 0.952  0.01
19 S 0.775 0.899 0.681  0.14
20 S 0.124 0.225 0.681  0.14
21 S 0.225 0.101 0.181  0.14
22 S 0.101 0.876 0.681  0.14
23 S 0.876 0.775 0.181  0.14
24 S 0.899 0.124 0.181  0.14

Values from the calculation:
total magnetic moment = 4.002 μB/cell
symmetry = P6_3, No. 173
theoretical density = 5319 kg/m³
E_form (uncorrected) = -1632 meV/atom
E = -6.09 eV per atom


Density functional theory data (PBE) for an optimized crystal structure of SmNiS2.

Cell lengths 3.518, 3.518, 8.053 Å; angles 77.38, 77.38, 60.00 degrees
Positions (direct):
1 Ni 0.500 0.500 0.500
2 S 0.117 0.117 0.649
3 S 0.883 0.883 0.351
4 Sm 0.000 0.000 0.000

Values from the calculation:
total magnetic moment = 0.000 μB/cell
symmetry = R-3m, No. 166
theoretical density = 5433 kg/m³
E_form (uncorrected) = -405 meV/atom
E = -5.09 eV per atom


Density functional theory data (PBE) for an optimized crystal structure of Sm3Ni5S12.

Cell lengths 12.609, 12.609, 12.609 Å; angles 109.47, 109.47, 109.47 degrees
Positions (direct):
1 Sm 0.750 0.375 0.125
2 Sm 0.875 0.750 0.125
3 Sm 0.375 0.750 0.625
4 Sm 0.250 0.125 0.375
5 Sm 0.875 0.125 0.250
6 Sm 0.375 0.625 0.250
7 Sm 0.625 0.375 0.750
8 Sm 0.125 0.875 0.750
9 Sm 0.750 0.875 0.625
10 Sm 0.625 0.250 0.375
11 Sm 0.125 0.250 0.875
12 Sm 0.250 0.625 0.875
13 Ni 0.125 0.375 0.250
14 Ni 0.000 0.500 0.000
15 Ni 0.000 0.000 0.000
16 Ni 0.375 0.250 0.125
17 Ni 0.500 0.000 0.500
18 Ni 0.500 0.500 0.000
19 Ni 0.125 0.750 0.375
20 Ni 0.750 0.125 0.875
21 Ni 0.750 0.625 0.375
22 Ni 0.375 0.125 0.750
23 Ni 0.625 0.875 0.250
24 Ni 0.500 0.500 0.500
25 Ni 0.500 0.000 0.000
26 Ni 0.000 0.000 0.500
27 Ni 0.250 0.375 0.625
28 Ni 0.250 0.875 0.125
29 Ni 0.000 0.500 0.500
30 Ni 0.875 0.250 0.625
31 Ni 0.625 0.750 0.875
32 Ni 0.875 0.625 0.750
33 S 0.699 0.114 0.022
34 S 0.323 0.522 0.408
35 S 0.978 0.386 0.301
36 S 0.522 0.199 0.114
37 S 0.585 0.699 0.677
38 S 0.978 0.592 0.177
39 S 0.323 0.801 0.415
40 S 0.092 0.915 0.114
41 S 0.592 0.978 0.677
42 S 0.699 0.585 0.177
43 S 0.801 0.478 0.386
44 S 0.823 0.908 0.022
45 S 0.114 0.699 0.522
46 S 0.386 0.408 0.085
47 S 0.085 0.908 0.386
48 S 0.415 0.114 0.592
49 S 0.085 0.177 0.199
50 S 0.478 0.677 0.092
51 S 0.823 0.915 0.301
52 S 0.114 0.415 0.092
53 S 0.386 0.978 0.801
54 S 0.592 0.614 0.415
55 S 0.908 0.823 0.522
56 S 0.801 0.323 0.915
57 S 0.408 0.386 0.585
58 S 0.092 0.177 0.478
59 S 0.199 0.677 0.085
60 S 0.177 0.085 0.699
61 S 0.614 0.022 0.199
62 S 0.886 0.585 0.908
63 S 0.522 0.323 0.908
64 S 0.585 0.886 0.408
65 S 0.915 0.823 0.801
66 S 0.915 0.092 0.614
67 S 0.886 0.301 0.478
68 S 0.177 0.092 0.978
69 S 0.614 0.592 0.915
70 S 0.408 0.022 0.323
71 S 0.301 0.415 0.823
72 S 0.199 0.522 0.614
73 S 0.908 0.085 0.886
74 S 0.677 0.199 0.585
75 S 0.478 0.801 0.886
76 S 0.022 0.408 0.823
77 S 0.415 0.301 0.323
78 S 0.022 0.614 0.699
79 S 0.677 0.478 0.592
80 S 0.301 0.886 0.978

Values from the calculation:
total magnetic moment = 0.002 μB/cell
symmetry = Ia-3d, No. 230
theoretical density = 4861 kg/m³
E_form (uncorrected) = -828 meV/atom
E = -5.46 eV per atom


Density functional theory data (PBE) for an optimized crystal structure of Sm8NiTe4S3.

Cell lengths 8.361, 8.614, 8.361 Å; angles 119.04, 120.00, 90.00 degrees
Positions (direct):
1 Sm 0.233 0.711 0.978
2 Sm 0.233 0.711 0.466
3 Sm 0.264 0.291 0.528
4 Sm 0.745 0.711 0.978
5 Sm 0.255 0.289 0.022
6 Sm 0.736 0.709 0.472
7 Sm 0.767 0.289 0.534
8 Sm 0.767 0.289 0.022
9 Ni 0.000 0.500 0.000
10 Te 0.500 0.000 0.000
11 Te 0.500 0.000 0.500
12 Te 0.000 0.000 0.000
13 Te 0.000 0.000 0.500
14 S 0.500 0.500 0.000
15 S 0.500 0.500 0.500
16 S 0.000 0.500 0.500

Values from the calculation:
total magnetic moment = 0.000 μB/cell
symmetry = R-3m, No. 166
theoretical density = 7182 kg/m³
E_form (uncorrected) = -1504 meV/atom
E = -5.78 eV per atom


Density functional theory data (PBE) for an optimized crystal structure of SmUNiS4.

Cell lengths 6.318, 5.864, 7.695 Å; angles 90.00, 106.73, 90.00 degrees
Last column: magnetic moment on the atom in μB.
Positions (direct):
1 Sm 0.747 0.750 0.939  0.02
2 Sm 0.253 0.250 0.061  0.02
3 U 0.759 0.750 0.443  1.81
4 U 0.241 0.250 0.557  1.81
5 Ni 0.238 0.750 0.326  -0.23
6 Ni 0.762 0.250 0.674  -0.23
7 S 0.018 0.511 0.746  -0.06
8 S 0.982 0.011 0.254  -0.06
9 S 0.982 0.489 0.254  -0.06
10 S 0.018 0.989 0.746  -0.06
11 S 0.432 0.750 0.124  -0.04
12 S 0.568 0.250 0.876  -0.04
13 S 0.434 0.750 0.607  -0.06
14 S 0.566 0.250 0.393  -0.06

Values from the calculation:
total magnetic moment = 3.012 μB/cell
symmetry = P2_1/m, No. 11
theoretical density = 6998 kg/m³
E_form (uncorrected) = -1353 meV/atom
E = -6.82 eV per atom


Density functional theory data (PBE) for an optimized crystal structure of Sm2UNiS5.

Cell lengths 3.800, 8.411, 11.891 Å; angles 90.00, 90.00, 103.06 degrees
Last column: magnetic moment on the atom in μB.
Positions (direct):
1 Sm 0.888 0.777 0.849  0.02
2 Sm 0.116 0.231 0.695  0.01
3 Sm 0.112 0.223 0.349  0.02
4 Sm 0.884 0.769 0.195  0.01
5 U 0.824 0.648 0.527  1.97
6 U 0.176 0.352 0.027  1.97
7 Ni 0.554 0.107 0.919  -0.24
8 Ni 0.446 0.893 0.419  -0.24
9 S 0.342 0.685 0.021  -0.02
10 S 0.684 0.369 0.863  -0.04
11 S 0.495 0.990 0.749  -0.02
12 S 0.302 0.605 0.691  -0.04
13 S 0.983 0.966 0.510  -0.06
14 S 0.658 0.315 0.521  -0.02
15 S 0.316 0.631 0.363  -0.04
16 S 0.505 0.010 0.249  -0.02
17 S 0.698 0.395 0.191  -0.04
18 S 0.017 0.034 0.010  -0.06

Values from the calculation:
total magnetic moment = 3.524 μB/cell
symmetry = Cmc2_1, No. 36
theoretical density = 6798 kg/m³
E_form (uncorrected) = -1577 meV/atom
E = -6.82 eV per atom


Density functional theory data (PBE) for an optimized crystal structure of Ni6SnS3.

Cell lengths 5.901, 5.901, 5.841 Å; angles 90.00, 120.34, 120.00 degrees
Positions (direct):
1 Ni 0.279 0.301 0.736
2 Ni 0.228 0.746 0.237
3 Ni 0.755 0.009 0.237
4 Ni 0.435 0.978 0.736
5 Ni 0.759 0.458 0.736
6 Ni 0.491 0.482 0.237
7 Sn 0.791 0.896 0.687
8 S 0.748 0.374 0.122
9 S 0.266 0.633 0.899
10 S 0.248 0.124 0.372

Values from the calculation:
total magnetic moment = 0.000 μB/cell
symmetry = R3, No. 146
theoretical density = 6582 kg/m³
E_form (uncorrected) = -248 meV/atom
E = -5.36 eV per atom


Density functional theory data (PBE) for an optimized crystal structure of NiSnS3.

Cell lengths 3.514, 5.756, 10.723 Å; angles 93.49, 90.00, 90.00 degrees
Positions (direct):
1 Ni 0.250 0.750 0.000
2 Ni 0.750 0.250 0.000
3 Sn 0.250 0.745 0.393
4 Sn 0.750 0.255 0.607
5 S 0.250 0.076 0.893
6 S 0.750 0.924 0.107
7 S 0.250 0.424 0.107
8 S 0.750 0.576 0.893
9 S 0.250 0.242 0.431
10 S 0.750 0.758 0.569

Values from the calculation:
total magnetic moment = 0.000 μB/cell
symmetry = P2_1/m, No. 11
distance to the lowest polymorph of the same formula = 0 kJ/mol of formula units
theoretical density = 4197 kg/m³
E_form (uncorrected) = -269 meV/atom
E = -4.70 eV per atom


Density functional theory data (PBE) for an optimized crystal structure of NiSnS3.

Cell lengths 4.523, 4.523, 4.523 Å; angles 90.00, 90.00, 90.00 degrees
Positions (direct):
1 Ni 0.000 0.000 0.000
2 S 0.000 0.500 0.000
3 S 0.000 0.000 0.500
4 S 0.500 0.000 0.000
5 Sn 0.500 0.500 0.500

Values from the calculation:
total magnetic moment = 0.000 μB/cell
symmetry = Pm-3m, No. 221
distance to the lowest polymorph of the same formula = 182 kJ/mol of formula units
theoretical density = 4910 kg/m³
E_form (uncorrected) = 108 meV/atom
E = -4.33 eV per atom


Density functional theory data (PBE) for an optimized crystal structure of Ni2SnS.

Cell lengths 4.602, 4.602, 7.453 Å; angles 72.02, 72.02, 90.00 degrees
Positions (direct):
1 Ni 0.509 0.125 0.250
2 Ni 0.241 0.625 0.250
3 Ni 0.375 0.491 0.750
4 Ni 0.875 0.759 0.750
5 S 0.500 0.500 0.000
6 S 0.250 0.750 0.500
7 Sn 0.000 0.000 0.000
8 Sn 0.750 0.250 0.500

Values from the calculation:
total magnetic moment = 0.000 μB/cell
symmetry = I-42d, No. 122
distance to the lowest polymorph of the same formula = 0 kJ/mol of formula units
theoretical density = 6272 kg/m³
E_form (uncorrected) = -202 meV/atom
E = -5.13 eV per atom


Density functional theory data (PBE) for an optimized crystal structure of Ni3Sn2S2.

Cell lengths 5.446, 5.446, 5.446 Å; angles 61.16, 61.16, 61.16 degrees
Positions (direct):
1 Ni 0.500 0.500 0.000
2 Ni 0.500 0.000 0.500
3 Ni 0.000 0.500 0.500
4 Sn 0.000 0.000 0.000
5 Sn 0.500 0.500 0.500
6 S 0.221 0.221 0.221
7 S 0.779 0.779 0.779

Values from the calculation:
total magnetic moment = 0.000 μB/cell
symmetry = R-3m, No. 166
theoretical density = 6769 kg/m³
E_form (uncorrected) = -378 meV/atom
E = -5.18 eV per atom


Density functional theory data (PBE) for an optimized crystal structure of Ni2SnS.

Cell lengths 4.369, 4.369, 4.369 Å; angles 60.00, 60.00, 60.00 degrees
Positions (direct):
1 Ni 0.250 0.250 0.250
2 Ni 0.750 0.750 0.750
3 S 0.000 0.000 0.000
4 Sn 0.500 0.500 0.500

Values from the calculation:
total magnetic moment = 0.000 μB/cell
symmetry = Fm-3m, No. 225
distance to the lowest polymorph of the same formula = 126 kJ/mol of formula units
theoretical density = 7551 kg/m³
E_form (uncorrected) = 126 meV/atom
E = -4.80 eV per atom


Density functional theory data (PBE) for an optimized crystal structure of Ni3SnS.

Cell lengths 5.343, 5.437, 6.817 Å; angles 66.52, 58.91, 59.39 degrees
Positions (direct):
1 Ni 0.065 0.111 0.295
2 Ni 0.530 0.272 0.970
3 Ni 0.145 0.766 0.840
4 Ni 0.145 0.293 0.841
5 Ni 0.064 0.574 0.294
6 Ni 0.497 0.039 0.469
7 Sn 0.458 0.572 0.442
8 Sn 0.621 0.778 0.867
9 S 0.981 0.226 0.613
10 S 0.878 0.018 0.130

Values from the calculation:
total magnetic moment = 0.000 μB/cell
symmetry = Cm, No. 8
distance to the lowest polymorph of the same formula = 0 kJ/mol of formula units
theoretical density = 7566 kg/m³
E_form (uncorrected) = -157 meV/atom
E = -5.25 eV per atom


Density functional theory data (PBE) for an optimized crystal structure of Ni3SnS.

Cell lengths 4.665, 4.665, 4.665 Å; angles 90.00, 90.00, 90.00 degrees
Positions (direct):
1 Ni 0.000 0.500 0.000
2 Ni 0.000 0.000 0.500
3 Ni 0.500 0.000 0.000
4 S 0.500 0.500 0.500
5 Sn 0.000 0.000 0.000

Values from the calculation:
total magnetic moment = 0.001 μB/cell
symmetry = Pm-3m, No. 221
distance to the lowest polymorph of the same formula = 654 kJ/mol of formula units
theoretical density = 5345 kg/m³
E_form (uncorrected) = 1199 meV/atom
E = -3.90 eV per atom